Entry 1:
Material: Pm2PrDySb4
Method: DFT, PBE-GGA
State: relaxed

Cell lengths 7.762, 4.485, 7.765 Å; angles 90.00, 109.48, 90.00 degrees
Space group P2/m (No. 10)
Unique sites:
Pm  0.000  0.000  0.000 x1
Pm  0.500  0.500  0.000 x1
Pr  0.000  0.500  0.500 x1
Dy  0.500  0.000  0.500 x1
Sb  0.255  0.000  0.750 x2
Sb  0.256  0.500  0.253 x2

The electronic total energy is -44.7 eV/cell. For the uncorrected formation energy, the calculation gives -1169 meV/atom. Its crystal system is monoclinic. The value obtained for the total magnetization is 0.00 μB/cell. For the density of states at the Fermi level, the calculation gives 1.02 states/eV/f.u.

=====

Entry 2:
Material: PmPr2DySc
Method: DFT, PBE-GGA
State: relaxed

Cell lengths 6.530, 15.939, 6.538 Å; angles 90.00, 90.00, 90.00 degrees
Space group Cmcm (No. 63)
Unique sites:
Pm  0.000  0.163  0.250 x4
Pr  0.248  0.500  0.000 x8
Dy  0.000  0.252  0.750 x4
Sc  0.000  0.346  0.250 x4

The electronic total energy is -93.5 eV/cell. For the energy of formation, the calculation gives 372 meV/atom. Its crystal system is orthorhombic. The value obtained for the total magnetization is 0.00 μB/cell. For the density of states at the Fermi level, the calculation gives 7.71 states/eV/f.u.

=====

Entry 3:
Material: Pm6Pr3Dy2Sc
Method: DFT, PBE-GGA
State: relaxed

Cell lengths 6.279, 10.880, 11.964 Å; angles 90.00, 100.09, 90.00 degrees
Space group C2/m (No. 12)
Unique sites:
Pm  0.246  0.165  0.242 x8
Pm  0.250  0.000  0.757 x4
Pr  0.000  0.167  0.500 x4
Pr  0.000  0.500  0.500 x2
Dy  0.000  0.333  0.000 x4
Sc  0.000  0.000  0.000 x2

The electronic total energy is -116.0 eV/cell. For the energy of formation, the calculation gives 31 meV/atom. Its crystal system is monoclinic. The value obtained for the total magnetization is 0.00 μB/cell. For the density of states at the Fermi level, the calculation gives 17.16 states/eV/f.u.

=====

Entry 4:
Material: Pm2PrDy5Sc
Method: DFT, PBE-GGA
State: relaxed

Cell lengths 5.611, 19.787, 10.462 Å; angles 90.00, 90.00, 90.00 degrees
Space group Cmc2_1 (No. 36)
Unique sites:
Pm  0.000  0.112  0.000 x4
Pm  0.000  0.115  0.419 x4
Pr  0.000  0.413  0.142 x4
Dy  0.000  0.018  0.705 x4
Dy  0.000  0.277  0.008 x4
Dy  0.000  0.297  0.390 x4
Dy  0.000  0.374  0.704 x4
Dy  0.000  0.482  0.425 x4
Sc  0.000  0.197  0.700 x4

The electronic total energy is -168.6 eV/cell. For the energy of formation, the calculation gives 163 meV/atom. Its crystal system is orthorhombic. The value obtained for the total magnetization is 0.00 μB/cell. For the density of states at the Fermi level, the calculation gives 12.83 states/eV/f.u.

=====

- electronic total energy of number 4 (Pm2PrDy5Sc)?
  -168.6 eV/cell

=====

Please write out number 4 again, unchanged.
Material: Pm2PrDy5Sc
Method: DFT, PBE-GGA
State: relaxed

Cell lengths 5.611, 19.787, 10.462 Å; angles 90.00, 90.00, 90.00 degrees
Space group Cmc2_1 (No. 36)
Unique sites:
Pm  0.000  0.112  0.000 x4
Pm  0.000  0.115  0.419 x4
Pr  0.000  0.413  0.142 x4
Dy  0.000  0.018  0.705 x4
Dy  0.000  0.277  0.008 x4
Dy  0.000  0.297  0.390 x4
Dy  0.000  0.374  0.704 x4
Dy  0.000  0.482  0.425 x4
Sc  0.000  0.197  0.700 x4

The electronic total energy is -168.6 eV/cell. For the energy of formation, the calculation gives 163 meV/atom. Its crystal system is orthorhombic. The value obtained for the total magnetization is 0.00 μB/cell. For the density of states at the Fermi level, the calculation gives 12.83 states/eV/f.u.